A plane-wave DFT calculation with PBE was carried out for crystalline Pm8In2Ga at its relaxed geometry.

abc: 9.968 9.968 6.903
angles: 104.59 104.59 30.87
Atoms (fractional coordinates):
Pm  0.012  0.012  0.272
Pm  0.209  0.209  0.803
Pm  0.346  0.346  0.519
Pm  0.408  0.408  0.037
Pm  0.592  0.592  0.963
Pm  0.654  0.654  0.481
Pm  0.791  0.791  0.197
Pm  0.988  0.988  0.728
In  0.179  0.179  0.241
In  0.821  0.821  0.759
Ga  0.500  0.500  0.500

Symmetry: C2/m
Formation energy (meV per atom): -258
D(E_F) (states/eV per atom): 1.088